A plane-wave DFT calculation with PBE was carried out for a geometry-optimized CsNdMgSe3 structure.

The value obtained for the total energy is -108.3 eV/cell. Its crystal system is orthorhombic. The magnetic moment is 0.0 μB per formula unit.

The structure belongs to space group Pnma (No. 62); the cell edges are 11.523, 4.366 and 16.115 Å and the angles 90.00°, 90.00° and 90.00°. Symmetry generates all atoms from Cs at (0.246, 0.250, 0.009), Nd at (0.004, 0.750, 0.251), Mg at (0.246, 0.750, 0.788), Se at (0.056, 0.750, 0.868), Se at (0.064, 0.250, 0.370) and Se at (0.247, 0.250, 0.695).